Entry 1:
Compound: YMgSb2Rh4
Source: Alexandria via LeMat-Bulk
Functional: PBE-GGA
Structure: optimized geometry

Cell lengths 4.4999, 4.4999, 24.2482 Å; angles 90.00, 90.00, 120.00 degrees
Space group R-3m (No. 166, hexagonal axes)
Asymmetric unit:
Y (0.0000, 0.0000, 0.0000) (multiplicity 3)
Mg (0.0000, 0.0000, 0.5000) (multiplicity 3)
Sb (0.0000, 0.0000, 0.2464) (multiplicity 6)
Rh (0.0000, 0.0000, 0.1304) (multiplicity 6)
Rh (0.0000, 0.0000, 0.3958) (multiplicity 6)

For the formation energy (no corrections), the calculation gives -644 meV per atom.

***

Entry 2:
Compound: Mg3ScRh4
Source: Alexandria via LeMat-Bulk
Functional: PBE-GGA
Structure: optimized geometry

Cell lengths 4.4489, 4.4489, 21.7542 Å; angles 90.00, 90.00, 120.00 degrees
Space group R-3m (No. 166, hexagonal axes)
Asymmetric unit:
Mg (0.0000, 0.0000, 0.0000) (multiplicity 3)
Mg (0.0000, 0.0000, 0.2518) (multiplicity 6)
Sc (0.0000, 0.0000, 0.5000) (multiplicity 3)
Rh (0.0000, 0.0000, 0.1249) (multiplicity 6)
Rh (0.0000, 0.0000, 0.3755) (multiplicity 6)

The calculation puts the energy of formation from the pure elements at -0.66 eV/atom.

***

Entry 3:
Compound: MgScRh2
Source: Alexandria via LeMat-Bulk
Functional: PBE-GGA
Structure: optimized geometry

Cell lengths 3.0826, 3.0826, 24.3667 Å; angles 90.00, 90.00, 120.00 degrees
Space group R-3m (No. 166, hexagonal axes)
Asymmetric unit:
Mg (0.0000, 0.0000, 0.0000) (multiplicity 3)
Sc (0.0000, 0.0000, 0.5000) (multiplicity 3)
Rh (0.0000, 0.0000, 0.2486) (multiplicity 6)

The calculation puts the energy of formation from the pure elements at -0.49 eV/atom.

***

Entry 4:
Compound: Mg2Sc2Rh
Source: Alexandria via LeMat-Bulk
Functional: PBE-GGA
Structure: optimized geometry

Cell lengths 3.208, 3.208, 20.037 Å; angles 90.00, 90.00, 90.00 degrees
Space group I4/mmm (No. 139)
Asymmetric unit:
Mg (0.000, 0.000, 0.197) (multiplicity 4)
Sc (0.000, 0.000, 0.418) (multiplicity 4)
Rh (0.000, 0.000, 0.000) (multiplicity 2)

Its distance to the lowest polymorph of the same formula is 0.0 meV/atom. The calculation puts the energy of formation from the pure elements at -0.43 eV/atom.

***

Entry 5:
Compound: Mg2ScRh2
Source: Alexandria via LeMat-Bulk
Functional: PBE-GGA
Structure: optimized geometry

Cell lengths 3.862, 3.862, 12.269 Å; angles 90.00, 90.00, 90.00 degrees
Space group I4/mmm (No. 139)
Asymmetric unit:
Mg (0.000, 0.500, 0.250) (multiplicity 4)
Sc (0.000, 0.000, 0.000) (multiplicity 2)
Rh (0.000, 0.000, 0.397) (multiplicity 4)

Its distance to the lowest polymorph of the same formula is 276.4 meV/atom. The calculation puts the energy of formation from the pure elements at -0.35 eV/atom.

***

Entry 6:
Compound: Mg3Sc4Rh
Source: Alexandria via LeMat-Bulk
Functional: PBE-GGA
Structure: optimized geometry

Cell lengths 3.343, 3.343, 15.500 Å; angles 90.00, 90.00, 90.00 degrees
Space group P4/mmm (No. 123)
Asymmetric unit:
Mg (0.000, 0.000, 0.000) (multiplicity 1)
Mg (0.000, 0.000, 0.265) (multiplicity 2)
Sc (0.500, 0.500, 0.134) (multiplicity 2)
Sc (0.500, 0.500, 0.402) (multiplicity 2)
Rh (0.000, 0.000, 0.500) (multiplicity 1)

The calculation puts the energy of formation from the pure elements at -0.28 eV/atom.

***

Entry 7:
Compound: MgSc2Rh
Source: Alexandria via LeMat-Bulk
Functional: PBE-GGA
Structure: optimized geometry

Cell lengths 3.238, 3.238, 7.638 Å; angles 90.00, 90.00, 90.00 degrees
Space group P4mm (No. 99)
Asymmetric unit:
Mg (0.000, 0.000, 0.000) (multiplicity 1)
Sc (0.000, 0.000, 0.400) (multiplicity 1)
Sc (0.500, 0.500, 0.706) (multiplicity 1)
Rh (0.500, 0.500, 0.207) (multiplicity 1)

The calculation puts the energy of formation from the pure elements at -0.40 eV/atom.

***

Entry 8:
Compound: MgScRh3
Source: Alexandria via LeMat-Bulk
Functional: PBE-GGA
Structure: optimized geometry

Cell lengths 4.656, 4.656, 4.656 Å; angles 90.00, 90.00, 90.00 degrees
Space group Pm-3m (No. 221)
Asymmetric unit:
Mg (0.000, 0.000, 0.000) (multiplicity 1)
Sc (0.500, 0.500, 0.500) (multiplicity 1)
Rh (0.000, 0.500, 0.500) (multiplicity 3)

Its distance to the lowest polymorph of the same formula is 87.9 meV/atom. The calculation puts the energy of formation from the pure elements at 0.46 eV/atom.

***

Entry 9:
Compound: MgSc2Rh2
Source: Alexandria via LeMat-Bulk
Functional: PBE-GGA
Structure: optimized geometry

Cell lengths 4.273, 4.273, 11.282 Å; angles 90.00, 90.00, 90.00 degrees
Space group I4/mmm (No. 139)
Asymmetric unit:
Mg (0.000, 0.000, 0.000) (multiplicity 2)
Sc (0.000, 0.500, 0.250) (multiplicity 4)
Rh (0.000, 0.000, 0.388) (multiplicity 4)

The calculation puts the energy of formation from the pure elements at -0.46 eV/atom.

***

Entry 10:
Compound: MgScRh2
Source: Alexandria via LeMat-Bulk
Functional: PBE-GGA
Structure: optimized geometry

Cell lengths 3.471, 3.471, 5.607 Å; angles 90.00, 90.00, 90.00 degrees
Space group P4mm (No. 99)
Asymmetric unit:
Mg (0.000, 0.000, 0.000) (multiplicity 1)
Sc (0.500, 0.500, 0.672) (multiplicity 1)
Rh (0.000, 0.000, 0.487) (multiplicity 1)
Rh (0.500, 0.500, 0.179) (multiplicity 1)

The calculation puts the energy of formation from the pure elements at -0.42 eV/atom.

***

Entry 11:
Compound: MgSc2Rh
Source: Alexandria via LeMat-Bulk
Functional: PBE-GGA
Structure: optimized geometry

Cell lengths 3.2304, 3.2304, 30.0788 Å; angles 90.00, 90.00, 120.00 degrees
Space group R-3m (No. 166, hexagonal axes)
Asymmetric unit:
Mg (0.0000, 0.0000, 0.0000) (multiplicity 3)
Sc (0.0000, 0.0000, 0.1036) (multiplicity 6)
Rh (0.0000, 0.0000, 0.5000) (multiplicity 3)

The calculation puts the energy of formation from the pure elements at -0.14 eV/atom.

***

Entry 12:
Compound: Mg2Sc2Rh
Source: Alexandria via LeMat-Bulk
Functional: PBE-GGA
Structure: optimized geometry

Cell lengths 6.667, 6.667, 4.712 Å; angles 90.00, 90.00, 90.00 degrees
Space group P4/mbm (No. 127)
Asymmetric unit:
Mg (0.144, 0.356, 0.000) (multiplicity 4)
Sc (0.176, 0.676, 0.500) (multiplicity 4)
Rh (0.000, 0.000, 0.000) (multiplicity 2)

Its distance to the lowest polymorph of the same formula is 390.7 meV/atom. The calculation puts the energy of formation from the pure elements at -0.04 eV/atom.

***

Entry 13:
Compound: MgSc4Rh2
Source: Alexandria via LeMat-Bulk
Functional: PBE-GGA
Structure: optimized geometry

Cell lengths 4.6973, 4.6973, 22.0488 Å; angles 90.00, 90.00, 120.00 degrees
Space group R-3m (No. 166, hexagonal axes)
Asymmetric unit:
Mg (0.0000, 0.0000, 0.0000) (multiplicity 3)
Sc (0.0000, 0.0000, 0.1329) (multiplicity 6)
Sc (0.0000, 0.0000, 0.3857) (multiplicity 6)
Rh (0.0000, 0.0000, 0.2546) (multiplicity 6)

The calculation puts the energy of formation from the pure elements at -0.55 eV/atom.

***

Number 1: DFT total energy -6.358 eV/atom, N(E_F) 12.24 states/eV/cell, total moment 0.0 μB/f.u.. Number 2: DFT total energy -5.725 eV/atom, N(E_F) 10.56 states/eV/cell, total moment 0.0 μB/f.u.. Number 3: DFT total energy -6.143 eV/atom, N(E_F) 8.21 states/eV/cell, total moment 0.0 μB/f.u.. Number 4: DFT total energy -5.074 eV/atom, N(E_F) 5.61 states/eV/cell, total moment 0.0 μB/f.u.. Number 5: DFT total energy -5.190 eV/atom, N(E_F) 4.88 states/eV/cell, total moment 0.0 μB/f.u.. Number 6: DFT total energy -4.967 eV/atom, N(E_F) 6.26 states/eV/cell, total moment 0.5 μB/f.u.. Number 7: DFT total energy -5.802 eV/atom, N(E_F) 3.35 states/eV/cell, total moment 0.9 μB/f.u.. Number 8: DFT total energy -5.539 eV/atom, N(E_F) 5.60 states/eV/cell, total moment 0.7 μB/f.u.. Number 9: DFT total energy -6.254 eV/atom, N(E_F) 1.73 states/eV/cell, total moment 0.0 μB/f.u.. Number 10: DFT total energy -6.074 eV/atom, N(E_F) 4.41 states/eV/cell, total moment 0.0 μB/f.u.. Number 11: DFT total energy -5.541 eV/atom, N(E_F) 13.87 states/eV/cell, total moment 0.0 μB/f.u.. Number 12: DFT total energy -4.683 eV/atom, N(E_F) 13.75 states/eV/cell, total moment 0.6 μB/f.u.. Number 13: DFT total energy -6.493 eV/atom, N(E_F) 21.64 states/eV/cell, total moment 0.0 μB/f.u..